A plane-wave DFT calculation with GGA-PBE was carried out for Sr3Ag8Sn after structural relaxation.

Calculated values
energy of formation	-0.21	eV per atom
density of states at the Fermi level	19.11	states/eV/cell
M_tot	0.00	μB/f.u.

a b c (Å): 5.8019 5.8019 29.1423
angles (deg): 90.00 90.00 120.00
Space group R3m (No. 160, hexagonal axes)
Unique sites:
Sr1 0.0000 0.0000 0.0000 x3
Sr2 0.0000 0.0000 0.1290 x3
Sr3 0.0000 0.0000 0.6137 x3
Ag1 0.0000 0.0000 0.3104 x3
Ag2 0.0000 0.0000 0.8106 x3
Ag3 0.9998 0.4999 0.0606 x9
Ag4 0.0034 0.5017 0.5604 x9
Sn1 0.0000 0.0000 0.4925 x3

---

A plane-wave DFT calculation with GGA-PBE was carried out for PrErH2 after structural relaxation.

Calculated values
density of states at the Fermi level	6.44	states/eV/cell
M_tot	0.00	μB/f.u.
final energy	-4.3723	eV per atom

a b c (Å): 3.5554 3.5554 17.3526
angles (deg): 90.00 90.00 120.00
Space group R-3m (No. 166, hexagonal axes)
Unique sites:
Pr1 0.0000 0.0000 0.0000 x3
Er1 0.0000 0.0000 0.5000 x3
H1 0.0000 0.0000 0.2408 x6

---

A plane-wave DFT calculation with GGA-PBE was carried out for Ho2ZnCu2Ni5 after structural relaxation.

Calculated values
energy of formation	-0.26	eV per atom
density of states at the Fermi level	8.25	states/eV/cell
M_tot	0.00	μB/f.u.

a b c (Å): 8.8684 8.8684 3.6898
angles (deg): 90.00 90.00 90.00
Space group P4/mbm (No. 127)
Unique sites:
Ho1 0.1796 0.3204 0.0000 x4
Zn1 0.0000 0.0000 0.0000 x2
Cu1 0.1178 0.6178 0.0000 x4
Ni1 0.0000 0.5000 0.5000 x2
Ni2 0.0606 0.7961 0.5000 x8

---

A plane-wave DFT calculation with GGA-PBE was carried out for HgPNF2 after structural relaxation.

Calculated values
E_form (uncorrected)	-0.345	eV per atom
density of states at the Fermi level	2.31	states/eV/cell
M_tot	0.00	μB/f.u.

a b c (Å): 4.6405 4.6405 3.2431
angles (deg): 90.00 90.00 90.00
Space group P4/mmm (No. 123)
Unique sites:
Hg1 0.0000 0.0000 0.0000 x1
P1 0.5000 0.5000 0.5000 x1
N1 0.5000 0.5000 0.0000 x1
F1 0.0000 0.5000 0.5000 x2

---

A plane-wave DFT calculation with GGA-PBE was carried out for Be2AgCl after structural relaxation.

Calculated values
E_form (uncorrected)	0.745	eV per atom
density of states at the Fermi level	1.81	states/eV/cell
M_tot	0.00	μB/f.u.

a b c (Å): 3.5976 3.5976 10.2846
angles (deg): 90.00 90.00 90.00
Space group I4/mmm (No. 139)
Unique sites:
Be1 0.0000 0.5000 0.2500 x4
Ag1 0.0000 0.0000 0.0000 x2
Cl1 0.0000 0.0000 0.5000 x2

---

A plane-wave DFT calculation with GGA-PBE was carried out for Ce2SmIn2Hg2 after structural relaxation.

Calculated values
energy of formation	-0.25	eV per atom
density of states at the Fermi level	39.59	states/eV/cell
M_tot	2.20	μB/f.u.

a b c (Å): 4.8222 4.8222 27.6971
angles (deg): 90.00 90.00 120.00
Space group R-3m (No. 166, hexagonal axes)
Unique sites:
Ce1 0.0000 0.0000 0.1433 x6
Sm1 0.0000 0.0000 0.0000 x3
In1 0.0000 0.0000 0.2706 x6
Hg1 0.0000 0.0000 0.4226 x6